{
  "formula": "TlP2Pb",
  "functional": "PBE-GGA",
  "state": "relaxed",
  "cell": [[5.028, 0.000, 0.000], [0.000, 5.028, 0.000], [0.000, 0.000, 3.638]],
  "species": ["Pb", "P", "P", "Tl"],
  "frac_coords": [[0.500, 0.000, 0.500], [0.500, 0.500, 0.000], [0.000, 0.000, 0.000], [0.000, 0.500, 0.500]],
  "sg": "P4/mmm (123)",
  "e_above_lowest_polymorph_ev_per_atom": 0.4180,
  "n_ef_per_ev_fu": 2.0,
  "magnetic_moment_mub_per_fu": 0.000,
  "vol_a3_per_atom": 23.0,
  "density_g_cm3": 8.55
}